Crystalline Tb3TmTh3 at its relaxed geometry. Source: Alexandria, functional PBE-GGA.

Lattice parameters (Å, degrees): 9.4995 9.4995 5.7919 90.00 90.00 120.00
Space group P6_3/m (No. 176)
Asymmetric unit:
Tb 0.0445 0.8044 0.2500 x6
Tm 0.3333 0.6667 0.2500 x2
Th 0.1041 0.6171 0.7500 x6

energy of formation from the pure elements: 0.0474 eV per atom
energy: -5.76 eV per atom
energy relative to the lowest polymorph listed for this composition: 0.5 kJ/mol of atoms